AlFeMo2 SCAN single point on PBEsol structure; calculated total energy = -95.808 eV/cell; spin magnetization = 1.81 μB per cell; formation enthalpy at 0 K = -0.039 eV per atom
1.0
2.646 0.000 0.007
0.000 4.242 0.000
-0.808 0.000 4.914
Mo Fe Al
2 1 1
Cartesian
-0.795 0.000 4.866
1.914 2.121 1.283
0.074 2.121 3.668
0.755 0.000 2.480



Na6Al4FeSi8O26 SCAN single point on PBEsol structure; calculated total energy = -446.389 eV/cell; formation energy without anion corrections = -2.88 eV per atom; spin magnetization = 4.00 μB per cell
1.0
8.026 0.000 0.000
-4.013 7.480 -0.067
0.000 -4.332 9.724
Fe O Si Al Na
1 26 8 4 6
Cartesian
0.000 0.000 0.000
1.420 1.414 0.078
1.485 5.339 3.111
2.316 3.223 4.628
6.606 1.414 0.078
0.000 1.444 9.042
4.013 1.705 0.615
4.013 4.067 6.845
5.500 0.530 2.450
4.013 0.015 6.283
-1.708 0.019 7.677
2.526 0.530 2.450
0.000 3.133 3.375
0.000 -0.918 2.813
-2.316 3.223 4.628
-2.593 1.734 9.579
2.528 -2.190 6.546
2.305 3.130 1.981
6.329 -0.074 5.029
-1.485 5.339 3.111
5.721 3.130 1.981
1.697 -0.074 5.029
1.487 2.618 7.208
-1.487 2.618 7.208
1.708 0.019 7.677
2.593 1.734 9.579
5.498 -2.190 6.546
-1.546 1.508 8.397
5.552 -0.595 6.354
2.467 1.640 1.261
-1.539 3.744 3.304
1.546 1.508 8.397
5.559 1.640 1.261
1.539 3.744 3.304
2.474 -0.595 6.354
6.426 -0.662 3.361
2.413 3.810 6.297
-2.413 3.810 6.297
1.600 -0.662 3.361
0.000 1.613 5.426
4.013 1.536 4.232
4.013 -3.103 8.107
4.013 4.744 1.145
0.000 6.251 1.551
0.000 -1.595 8.512